A relaxed structure of LiSc2Mo. Source: the Alexandria database, functional PBE.

The offset from the most stable computed form comes out at 0.268 eV per atom. As for the formation energy: 1.5 eV/f.u. The total energy is -5.97 eV per atom. As for the density: 4.00 Mg/m³. The density of states at the Fermi level comes out at 17.3 states/eV/cell.

It has space group R3m (No. 160, hexagonal axes), with a = 3.0060 Å, b = 3.0060 Å, c = 30.7089 Å, α = 90.00°, β = 90.00° and γ = 120.00°. Symmetry generates all atoms from Li at (0.0000, 0.0000, 0.0000), Sc at (0.0000, 0.0000, 0.2430), Sc at (0.0000, 0.0000, 0.4859) and Mo at (0.0000, 0.0000, 0.7434).